# 1
! LaGaF2 (GGA-PBEsol, relaxed); values from VASP
&SYSTEM
  ibrav = 0, nat = 4, ntyp = 3
/
ATOMIC_SPECIES
La 138.91 La.upf
Ga 69.72 Ga.upf
F 19.00 F.upf
CELL_PARAMETERS angstrom
0.0000 3.1884 3.1884
3.1884 0.0000 3.1884
3.1884 3.1884 0.0000
ATOMIC_POSITIONS crystal
La 0.0000 0.0000 0.0000
Ga 0.5000 0.5000 0.5000
F 0.2500 0.2500 0.2500
F 0.7500 0.7500 0.7500
! size of the total moment: 0.0 μB per cell
! E: -5.10 eV/atom
! formation energy (no corrections): -1.965 eV per atom
! D(E_F): 0.991 states/eV per atom


# 2
! LaGaReF2 (GGA-PBEsol, relaxed); values from VASP
&SYSTEM
  ibrav = 0, nat = 5, ntyp = 4
/
ATOMIC_SPECIES
La 138.91 La.upf
Ga 69.72 Ga.upf
Re 186.21 Re.upf
F 19.00 F.upf
CELL_PARAMETERS angstrom
4.2061 0.0000 0.0000
0.0000 4.2061 0.0000
0.0000 0.0000 5.4169
ATOMIC_POSITIONS crystal
La 0.0000 0.0000 0.0000
Ga 0.5000 0.5000 0.0000
Re 0.0000 0.0000 0.5000
F 0.0000 0.5000 0.5000
F 0.5000 0.0000 0.5000
! size of the total moment: 0.0 μB per cell
! E: -5.49 eV/atom
! formation energy (no corrections): -0.313 eV per atom
! D(E_F): 0.989 states/eV per atom


# 3
! Li3GaF (GGA-PBEsol, relaxed); values from VASP
&SYSTEM
  ibrav = 0, nat = 5, ntyp = 3
/
ATOMIC_SPECIES
Li 6.94 Li.upf
Ga 69.72 Ga.upf
F 19.00 F.upf
CELL_PARAMETERS angstrom
4.0101 0.0000 0.0000
0.0000 4.0101 0.0000
0.0000 0.0000 4.0101
ATOMIC_POSITIONS crystal
Li 0.0000 0.0000 0.5000
Li 0.0000 0.5000 0.0000
Li 0.5000 0.0000 0.0000
Ga 0.5000 0.5000 0.5000
F 0.0000 0.0000 0.0000
! size of the total moment: 0.0 μB per cell
! E: -3.41 eV/atom
! formation energy (no corrections): -1.173 eV per atom
! D(E_F): 0.361 states/eV per atom